1.
# KHgRu SCAN single point on PBEsol structure
# Formation energy from the elements: 1.070 eV per atom
# Calculated total energy: -36.04 eV/atom
# Density of states at the Fermi level: 5.8 states/eV per cell
data_KHgRu
_space_group_name_H-M_alt 'F -4 3 m'
_space_group_IT_number 216
_space_group_name_Hall 'F -4 2 3'
_cell_length_a 6.854
_cell_length_b 6.854
_cell_length_c 6.854
_cell_angle_alpha 90.00
_cell_angle_beta 90.00
_cell_angle_gamma 90.00
loop_
_atom_site_label
_atom_site_fract_x
_atom_site_fract_y
_atom_site_fract_z
_atom_site_occupancy
K1 0.000 0.000 0.000 1
Hg1 0.250 0.250 0.250 1
Ru1 0.000 0.000 0.500 1

2.
# KHgRu SCAN single point on PBEsol structure
# Formation energy from the elements: 0.872 eV per atom
# Calculated total energy: -36.24 eV/atom
# Density of states at the Fermi level: 2.1 states/eV per cell
data_KHgRu
_space_group_name_H-M_alt 'P 3 m 1'
_space_group_IT_number 156
_space_group_name_Hall 'P 3 -2"'
_cell_length_a 5.1393
_cell_length_b 5.1393
_cell_length_c 2.7188
_cell_angle_alpha 90.00
_cell_angle_beta 90.00
_cell_angle_gamma 120.00
loop_
_atom_site_label
_atom_site_fract_x
_atom_site_fract_y
_atom_site_fract_z
_atom_site_occupancy
K1 0.0000 0.0000 0.0000 1
Hg1 0.6667 0.3333 0.5018 1
Ru1 0.3333 0.6667 0.4997 1

3.
# KZnHg2Ru SCAN single point on PBEsol structure
# Formation energy from the elements: 1.519 eV per atom
# Calculated total energy: -37.08 eV/atom
# Density of states at the Fermi level: 5.3 states/eV per cell
data_KZnHg2Ru
_space_group_name_H-M_alt 'P 4/m m m'
_space_group_IT_number 123
_space_group_name_Hall '-P 4 2'
_cell_length_a 5.616
_cell_length_b 5.616
_cell_length_c 5.383
_cell_angle_alpha 90.00
_cell_angle_beta 90.00
_cell_angle_gamma 90.00
loop_
_atom_site_label
_atom_site_fract_x
_atom_site_fract_y
_atom_site_fract_z
_atom_site_occupancy
K1 0.000 0.000 0.000 1
Zn1 0.000 0.000 0.500 1
Hg1 0.000 0.500 0.000 1
Ru1 0.500 0.500 0.500 1

4.
# K2HgS2 SCAN single point on PBEsol structure
# Calculated total energy: -21.81 eV/atom
# Raw formation energy: -995 meV/atom
# Density of states at the Fermi level: 0.0 states/eV per cell
data_K2HgS2
_space_group_name_H-M_alt 'P b c m'
_space_group_IT_number 57
_space_group_name_Hall '-P 2c 2b'
_cell_length_a 10.686
_cell_length_b 7.992
_cell_length_c 6.948
_cell_angle_alpha 90.00
_cell_angle_beta 90.00
_cell_angle_gamma 90.00
loop_
_atom_site_label
_atom_site_fract_x
_atom_site_fract_y
_atom_site_fract_z
_atom_site_occupancy
K1 0.106 0.250 0.000 1
K2 0.387 0.047 0.250 1
Hg1 0.213 0.661 0.250 1
S1 0.107 0.585 0.750 1
S2 0.336 0.079 0.750 1

no.,magnetic moment (μB per formula unit)
1,2.4
2,0.0
3,2.9
4,0.0